<1>
First-principles (PBE) data for a relaxed structure of PmBiP2, as listed in Alexandria.

Geometry as extended XYZ:
```
4
Lattice="-1.8140 2.0511 -2.7453 -2.9810 -2.4766 0.1194 -2.8343 3.6327 4.5869" Properties=species:S:1:pos:R:3 pbc="T T T"
P -2.3387 2.9976 3.7849
P -0.4956 0.6352 0.8020
Bi -3.8146 1.6036 0.9805
Pm -2.3975 -0.2128 -1.3129
```

N(E_F): 1.0344 states/eV per atom
V: 98 Å³/f.u.

***

<2>
First-principles (PBE) data for a relaxed structure of PmBiP2, as listed in Alexandria.

Geometry as extended XYZ:
```
4
Lattice="-4.1380 -1.1233 -0.3188 -1.2701 -2.6621 -3.1284 -0.4641 -7.5594 3.6665" Properties=species:S:1:pos:R:3 pbc="T T T"
P -0.8972 -5.5222 2.1087
P -4.9751 -5.8226 -1.8894
Bi 0.0000 0.0000 0.0000
Pm -2.9361 -5.6724 0.1096
```

N(E_F): 0.5798 states/eV per atom
V: 129 Å³/f.u.

***

Energies, relative to the best one, in kJ/mol of atoms: <1> 0.0; <2> 29.0.

***

<1>
First-principles (PBE) data for a relaxed structure of Pm4Bi2P, as listed in Alexandria.

Geometry as extended XYZ:
```
7
Lattice="5.3110 0.0000 0.0000 0.0000 5.3110 0.0000 -2.6555 -2.6555 8.2932" Properties=species:S:1:pos:R:3 pbc="T T T"
P 0.0000 0.0000 0.0000
Bi 2.6555 2.6555 2.2755
Bi 0.0000 0.0000 6.0176
Pm 2.6555 2.6555 5.5303
Pm 0.0000 0.0000 2.7629
Pm 0.0000 2.6555 0.0000
Pm 2.6555 0.0000 0.0000
```

N(E_F): 0.8255 states/eV per atom
V: 234 Å³/f.u.

***

<2>
First-principles (PBE) data for a relaxed structure of Pm4Bi2P, as listed in Alexandria.

Geometry as extended XYZ:
```
14
Lattice="-4.7813 2.2959 -4.6015 -4.8532 -1.4226 4.3331 2.9029 7.4267 5.6897" Properties=species:S:1:pos:R:3 pbc="T T T"
Pm -4.0816 2.2068 1.2500
Pm -1.3994 5.4966 7.9142
Pm -5.3322 2.8033 -2.4929
Pm -1.6748 2.9123 -0.8988
Pm -3.8896 6.0059 0.1743
Pm -5.0568 5.3877 6.3201
Pm -2.6500 6.0931 4.1713
Pm -2.8420 2.2941 5.2471
Bi -6.8955 1.0103 0.2855
Bi 0.1639 7.2896 5.1358
Bi -1.3118 3.7137 2.3090
Bi -5.4198 4.5862 3.1124
P -3.9231 0.5137 3.4516
P -2.8085 7.7863 1.9698
```

N(E_F): 0.7523 states/eV per atom
V: 216 Å³/f.u.

***

Energies, relative to the best one, in kJ/mol of atoms: <1> 0.0; <2> 2.4.

***

<1>
First-principles (PBE) data for a relaxed structure of Pm5Bi4P, as listed in Alexandria.

Geometry as extended XYZ:
```
10
Lattice="-5.5648 -0.9519 -2.9550 0.5733 -3.9241 -6.6862 -3.6033 -6.5808 2.0350" Properties=species:S:1:pos:R:3 pbc="T T T"
Pm -7.7615 -7.7138 -3.5251
Pm -3.3410 -7.5785 -5.0226
Pm -5.2655 -3.8802 -2.5897
Pm -0.8451 -3.7449 -4.0873
Pm -2.7858 -0.4765 -1.4793
Bi -4.8877 -7.1390 -2.2515
Bi -6.1997 -7.8340 -6.4274
Bi -2.4068 -3.6247 -1.1850
Bi -3.7188 -4.3197 -5.3608
P -0.0070 -0.0012 -0.0037
```

N(E_F): 0.1855 states/eV per atom
V: 320 Å³/f.u.

***

<2>
First-principles (PBE) data for a relaxed structure of Pm5Bi4P, as listed in Alexandria.

Geometry as extended XYZ:
```
10
Lattice="-4.3480 0.7212 0.9254 -0.6799 -4.4437 0.2685 5.8812 2.2822 14.8965" Properties=species:S:1:pos:R:3 pbc="T T T"
Pm 0.6125 0.0766 2.8185
Pm -2.5140 -1.8613 0.5969
Pm 0.2408 -1.5169 13.2719
Pm 2.0157 0.2520 9.2747
Pm -1.1624 -1.6923 6.8157
Bi 2.6986 0.3374 12.4170
Bi -0.4708 -1.6058 9.9981
Bi 1.3241 0.1655 6.0923
Bi -1.8453 -1.7777 3.6734
P 0.0000 0.0000 0.0000
```

N(E_F): 0.1323 states/eV per atom
V: 322 Å³/f.u.

***

Energies, relative to the best one, in kJ/mol of atoms: <1> 0.0; <2> 0.8.

***

<1>
First-principles (PBE) data for a relaxed structure of Pr5Bi4P, as listed in Alexandria.

Geometry as extended XYZ:
```
10
Lattice="-2.0001 -3.1071 -5.2999 3.9436 -6.6564 -1.5240 -5.7274 -5.2603 1.3073" Properties=species:S:1:pos:R:3 pbc="T T T"
Pr -4.9939 -9.6119 -4.3026
Pr -0.9140 -9.5814 -1.9220
Pr -2.8739 -5.4486 -3.6052
Pr 1.2059 -5.4182 -1.2246
Pr -1.0017 -1.5561 -2.6542
Bi -3.7758 -8.0633 -1.7321
Bi -1.9483 -10.9317 -4.6784
Bi -1.8398 -4.0985 -0.8491
Bi -0.0122 -6.9669 -3.7953
P -0.0028 -0.0043 -0.0073
```

N(E_F): 0.1751 states/eV per atom
V: 334 Å³/f.u.

***

<2>
First-principles (PBE) data for a relaxed structure of Pr5Bi4P, as listed in Alexandria.

Geometry as extended XYZ:
```
10
Lattice="4.5232 0.0000 -0.6375 -0.0898 4.5223 -0.6375 0.0059 0.0060 16.4086" Properties=species:S:1:pos:R:3 pbc="T T T"
Pr 0.4064 0.4145 2.8834
Pr 2.2167 2.2612 -0.6375
Pr 4.0330 4.1139 12.2503
Pr 1.3314 1.3582 9.4476
Pr 3.1079 3.1702 5.6861
Bi 1.7815 1.8172 12.6407
Bi 3.5642 3.6357 8.9243
Bi 0.8751 0.8926 6.2093
Bi 2.6579 2.7112 2.4929
P 0.0000 0.0000 0.0000
```

N(E_F): 0.1269 states/eV per atom
V: 336 Å³/f.u.

***

Energies, relative to the best one, in kJ/mol of atoms: <1> 0.0; <2> 0.8.

***

<1>
First-principles (PBE) data for a relaxed structure of BiPPt2, as listed in Alexandria.

Geometry as extended XYZ:
```
8
Lattice="4.9857 0.0000 0.0000 0.0000 4.9857 0.0000 2.4928 2.4928 7.1646" Properties=species:S:1:pos:R:3 pbc="T T T"
P 2.4928 2.4928 0.0000
P 2.4928 4.9857 3.5823
Bi 0.0000 0.0000 0.0000
Bi 4.9857 2.4928 3.5823
Pt 3.2303 1.2464 1.7912
Pt 1.7554 3.7392 1.7912
Pt 3.7392 4.2482 5.3735
Pt 6.2321 5.7231 5.3735
```

N(E_F): 0.3627 states/eV per atom
V: 89 Å³/f.u.

***

<2>
First-principles (PBE) data for a relaxed structure of BiPPt2, as listed in Alexandria.

Geometry as extended XYZ:
```
4
Lattice="0.1335 2.2607 4.1387 0.2825 4.7080 0.1081 -3.7064 2.5537 1.4136" Properties=species:S:1:pos:R:3 pbc="T T T"
P 0.0000 0.0000 0.0000
Bi -1.6452 4.7612 2.8302
Pt -0.8226 2.3806 1.4151
Pt -2.4678 7.1418 4.2453
```

N(E_F): 0.6815 states/eV per atom
V: 74 Å³/f.u.

***

Energies, relative to the best one, in kJ/mol of atoms: <1> 0.0; <2> 46.4.

***

<1>
First-principles (PBE) data for a relaxed structure of BiP2PtS, as listed in Alexandria.

Geometry as extended XYZ:
```
5
Lattice="5.2198 0.0000 0.0000 0.0000 5.2198 0.0000 0.0000 0.0000 5.0049" Properties=species:S:1:pos:R:3 pbc="T T T"
P 0.0000 2.6099 0.0000
P 2.6099 0.0000 0.0000
S 0.0000 0.0000 2.5024
Bi 0.0000 0.0000 0.0000
Pt 2.6099 2.6099 2.5024
```

N(E_F): 1.1454 states/eV per atom
V: 136 Å³/f.u.

***

<2>
First-principles (PBE) data for a relaxed structure of BiP2PtS, as listed in Alexandria.

Geometry as extended XYZ:
```
5
Lattice="4.6535 0.0000 0.0000 0.0000 4.6535 0.0000 0.0000 0.0000 4.9960" Properties=species:S:1:pos:R:3 pbc="T T T"
P 0.0000 2.3267 0.0000
P 2.3267 0.0000 0.0000
S 0.0000 0.0000 2.4980
Bi 2.3267 2.3267 2.4980
Pt 0.0000 0.0000 0.0000
```

N(E_F): 0.8633 states/eV per atom
V: 108 Å³/f.u.

***

Energies, relative to the best one, in kJ/mol of atoms: <1> 115.4; <2> 0.0.

***

<1>
First-principles (PBE) data for a relaxed structure of Rb2BiP, as listed in Alexandria.

Geometry as extended XYZ:
```
8
Lattice="12.9632 0.0000 0.0000 0.0000 12.9632 0.0000 6.4816 6.4816 2.7229" Properties=species:S:1:pos:R:3 pbc="T T T"
P 6.4816 6.4816 0.0000
P 6.4816 12.9632 1.3614
Bi 0.0000 0.0000 0.0000
Bi 12.9632 6.4816 1.3614
Rb 7.1459 3.2408 0.6807
Rb 5.8173 9.7224 0.6807
Rb 9.7224 12.2989 2.0422
Rb 16.2040 13.6275 2.0422
```

N(E_F): 1.0499 states/eV per atom
V: 229 Å³/f.u.

***

<2>
First-principles (PBE) data for a relaxed structure of Rb2BiP, as listed in Alexandria.

Geometry as extended XYZ:
```
4
Lattice="1.4034 -5.6441 -1.1984 -4.2952 -4.0139 -0.8380 -0.9767 -2.2153 -5.4222" Properties=species:S:1:pos:R:3 pbc="T T T"
P 0.0000 0.0000 0.0000
Bi -1.9343 -5.9367 -3.7293
Rb -0.9671 -2.9683 -1.8647
Rb -2.9014 -8.9050 -5.5940
```

N(E_F): 0.9786 states/eV per atom
V: 148 Å³/f.u.

***

Energies, relative to the best one, in kJ/mol of atoms: <1> 0.0; <2> 32.3.

***

<1>
First-principles (PBE) data for a relaxed structure of Re3BiP, as listed in Alexandria.

Geometry as extended XYZ:
```
5
Lattice="-3.6679 1.1551 3.1816 -2.5441 -4.0352 -1.4679 2.2326 -2.7005 3.5543" Properties=species:S:1:pos:R:3 pbc="T T T"
Re -1.2720 -2.0176 -0.7339
Re 1.1163 -1.3503 1.7771
Re -1.8339 0.5776 1.5908
Bi 0.0000 0.0000 0.0000
P -1.9897 -2.7903 2.6340
```

N(E_F): 0.8289 states/eV per atom
V: 124 Å³/f.u.

***

<2>
First-principles (PBE) data for a relaxed structure of Re3BiP, as listed in Alexandria.

Geometry as extended XYZ:
```
5
Lattice="4.5134 0.0000 0.0000 0.0000 4.5134 0.0000 0.0000 0.0000 4.5134" Properties=species:S:1:pos:R:3 pbc="T T T"
Re 0.0000 2.2567 0.0000
Re 0.0000 0.0000 2.2567
Re 2.2567 0.0000 0.0000
Bi 2.2567 2.2567 2.2567
P 0.0000 0.0000 0.0000
```

N(E_F): 0.8712 states/eV per atom
V: 92 Å³/f.u.

***

Energies, relative to the best one, in kJ/mol of atoms: <1> 237.8; <2> 0.0.

***

<1>
First-principles (PBE) data for a relaxed structure of Re2BiP, as listed in Alexandria.

Geometry as extended XYZ:
```
8
Lattice="4.5005 0.0000 0.0000 0.0000 4.5005 0.0000 2.2502 2.2502 8.1373" Properties=species:S:1:pos:R:3 pbc="T T T"
Re 2.8533 1.1251 2.0343
Re 1.6471 3.3753 2.0343
Re 3.3753 3.8974 6.1030
Re 5.6256 5.1036 6.1030
Bi 0.0000 0.0000 0.0000
Bi 4.5005 2.2502 4.0686
P 2.2502 2.2502 0.0000
P 2.2502 4.5005 4.0686
```

N(E_F): 0.7475 states/eV per atom
V: 82 Å³/f.u.

***

<2>
First-principles (PBE) data for a relaxed structure of Re2BiP, as listed in Alexandria.

Geometry as extended XYZ:
```
4
Lattice="0.0000 3.2055 3.2055 3.2055 0.0000 3.2055 3.2055 3.2055 0.0000" Properties=species:S:1:pos:R:3 pbc="T T T"
Re 1.6028 1.6028 1.6028
Re 4.8083 4.8083 4.8083
Bi 3.2055 3.2055 3.2055
P 0.0000 0.0000 0.0000
```

N(E_F): 0.7860 states/eV per atom
V: 66 Å³/f.u.

***

Energies, relative to the best one, in kJ/mol of atoms: <1> 0.0; <2> 17.7.

***

<1>
First-principles (PBE) data for a relaxed structure of ScReBi2P, as listed in Alexandria.

Geometry as extended XYZ:
```
5
Lattice="-4.6813 -1.3951 -1.8345 -0.6770 -3.0216 4.0257 -2.1972 3.9551 2.5991" Properties=species:S:1:pos:R:3 pbc="T T T"
Sc -0.3385 -1.5108 2.0128
Re 0.0000 0.0000 0.0000
Bi -1.0986 1.9776 1.2995
Bi -2.3406 -0.6976 -0.9172
P -3.7778 -0.2308 2.3951
```

N(E_F): 0.5090 states/eV per atom
V: 138 Å³/f.u.

***

<2>
First-principles (PBE) data for a relaxed structure of ScReBi2P, as listed in Alexandria.

Geometry as extended XYZ:
```
5
Lattice="-2.1417 -1.1665 4.7643 0.6677 -4.6092 -0.8284 4.8465 0.2975 2.2515" Properties=species:S:1:pos:R:3 pbc="T T T"
Sc 0.3339 -2.3046 -0.4142
Re 1.6863 -2.7392 3.0937
Bi 2.4232 0.1487 1.1257
Bi -1.0708 -0.5833 2.3821
P 0.0000 0.0000 0.0000
```

N(E_F): 0.4459 states/eV per atom
V: 136 Å³/f.u.

***

Energies, relative to the best one, in kJ/mol of atoms: <1> 0.0; <2> 32.9.

***

<1>
First-principles (PBE) data for a relaxed structure of BiPRh3, as listed in Alexandria.

Geometry as extended XYZ:
```
5
Lattice="4.4855 0.0000 0.0000 0.0000 4.4855 0.0000 0.0000 0.0000 4.4855" Properties=species:S:1:pos:R:3 pbc="T T T"
P 0.0000 0.0000 0.0000
Rh 0.0000 2.2428 0.0000
Rh 0.0000 0.0000 2.2428
Rh 2.2428 0.0000 0.0000
Bi 2.2428 2.2428 2.2428
```

N(E_F): 1.8405 states/eV per atom
V: 90 Å³/f.u.

***

<2>
First-principles (PBE) data for a relaxed structure of BiPRh3, as listed in Alexandria.

Geometry as extended XYZ:
```
5
Lattice="4.9464 0.0000 0.0000 0.0000 4.9464 0.0000 0.0000 0.0000 4.9464" Properties=species:S:1:pos:R:3 pbc="T T T"
P 2.4732 2.4732 2.4732
Rh 0.0000 2.4732 0.0000
Rh 0.0000 0.0000 2.4732
Rh 2.4732 0.0000 0.0000
Bi 0.0000 0.0000 0.0000
```

N(E_F): 1.3008 states/eV per atom
V: 121 Å³/f.u.

***

Energies, relative to the best one, in kJ/mol of atoms: <1> 0.0; <2> 163.4.

***

<1>
First-principles (PBE) data for a relaxed structure of BiPRu3, as listed in Alexandria.

Geometry as extended XYZ:
```
5
Lattice="-4.7296 1.3290 0.8420 -1.4455 -4.7239 -0.6629 0.6213 -0.8732 4.8678" Properties=species:S:1:pos:R:3 pbc="T T T"
Ru -0.7227 -2.3620 -0.3314
Ru 0.3106 -0.4366 2.4339
Ru -2.3648 0.6645 0.4210
Bi 0.0000 0.0000 0.0000
P -2.7769 -2.1340 2.5235
```

N(E_F): 1.3059 states/eV per atom
V: 124 Å³/f.u.

***

<2>
First-principles (PBE) data for a relaxed structure of BiPRu3, as listed in Alexandria.

Geometry as extended XYZ:
```
5
Lattice="-4.3786 0.2432 0.8013 0.4066 -3.1118 3.1663 0.7320 3.1830 3.0342" Properties=species:S:1:pos:R:3 pbc="T T T"
Ru 0.2033 -1.5559 1.5831
Ru 0.3660 1.5915 1.5171
Ru -2.1893 0.1216 0.4007
Bi -1.6200 0.1572 3.5009
P 0.0000 0.0000 0.0000
```

N(E_F): 0.8219 states/eV per atom
V: 89 Å³/f.u.

***

Energies, relative to the best one, in kJ/mol of atoms: <1> 191.5; <2> 0.0.

***

<1>
First-principles (PBE) data for a relaxed structure of BiPRuS2, as listed in Alexandria.

Geometry as extended XYZ:
```
5
Lattice="4.8597 0.0000 0.0000 0.0000 4.8597 0.0000 0.0000 0.0000 4.3848" Properties=species:S:1:pos:R:3 pbc="T T T"
Ru 0.0000 0.0000 0.0000
S 0.0000 2.4298 0.0000
S 2.4298 0.0000 0.0000
Bi 2.4298 2.4298 2.1924
P 0.0000 0.0000 2.1924
```

N(E_F): 1.0072 states/eV per atom
V: 104 Å³/f.u.

***

<2>
First-principles (PBE) data for a relaxed structure of BiPRuS2, as listed in Alexandria.

Geometry as extended XYZ:
```
5
Lattice="-0.5310 -2.1258 4.6564 4.8519 1.2825 1.1388 -1.6605 4.5895 1.9059" Properties=species:S:1:pos:R:3 pbc="T T T"
Ru 1.3302 1.8731 3.8506
S 2.4260 0.6413 0.5694
S -0.2655 -1.0629 2.3282
Bi 0.0000 0.0000 0.0000
P -0.8303 2.2947 0.9530
```

N(E_F): 0.9699 states/eV per atom
V: 139 Å³/f.u.

***

Energies, relative to the best one, in kJ/mol of atoms: <1> 0.0; <2> 119.4.